1.
An optimized crystal structure of MnTcSnPH. Source: Alexandria, functional PBE.

POSCAR file:
```
MnTcSnPH
1.0
3.073 0.000 0.330
0.000 3.142 0.000
-1.537 0.000 14.095
Sn Mn P Tc H
2 2 2 2 2
Direct
0.627 0.000 0.267
0.627 0.500 0.767
0.128 0.000 0.887
0.128 0.500 0.387
0.128 0.000 0.498
0.128 0.500 0.998
0.629 0.500 0.567
0.629 0.000 0.067
0.630 0.000 0.640
0.630 0.500 0.140
```

SG   No. 8
Total moment   0.407 μB/atom
Energy   -6.59 eV/atom
Crystal system   monoclinic
Offset from the most stable computed form   60 meV per atom
Calculated density   7.32 g cm⁻³
N(E_F)   0.43 states/eV per atom

=====

2.
An optimized crystal structure of MnTcSnPH. Source: Alexandria, functional PBE.

POSCAR file:
```
MnTcSnPH
1.0
2.991 0.000 0.000
1.216 3.363 0.000
0.099 0.903 6.944
Tc Mn P H Sn
1 1 1 1 1
Direct
0.866 0.843 0.100
0.256 0.082 0.771
0.535 0.477 0.922
0.786 0.000 0.660
0.236 0.135 0.388
```

SG   No. 1
Total moment   0.000 μB/atom
Energy   -6.46 eV/atom
Crystal system   triclinic
Offset from the most stable computed form   193 meV per atom
Calculated density   7.22 g cm⁻³
N(E_F)   0.51 states/eV per atom

=====

3.
An optimized crystal structure of MnTcSnPH. Source: Alexandria, functional PBE.

POSCAR file:
```
MnTcSnPH
1.0
-0.695 1.440 2.553
-2.464 -3.277 -0.586
4.588 -2.749 2.795
Sn Mn H P Tc
1 1 1 1 1
Direct
0.824 0.306 0.881
0.319 0.291 0.266
0.291 0.241 0.547
0.604 0.859 0.278
0.066 0.783 0.566
```

SG   No. 1
Total moment   0.265 μB/atom
Energy   -6.43 eV/atom
Crystal system   triclinic
Offset from the most stable computed form   216 meV per atom
Calculated density   7.29 g cm⁻³
N(E_F)   0.72 states/eV per atom

=====

4.
An optimized crystal structure of MnTcSnPH. Source: Alexandria, functional PBE.

POSCAR file:
```
MnTcSnPH
1.0
5.902 0.000 -0.022
0.000 2.983 0.000
-1.574 0.000 7.723
H Sn Mn Tc P
2 2 2 2 2
Direct
0.640 0.000 0.078
0.640 0.500 0.578
0.501 0.000 0.776
0.501 0.500 0.276
0.117 0.000 0.271
0.117 0.500 0.771
0.811 0.500 0.055
0.811 0.000 0.555
0.092 0.500 0.480
0.092 0.000 0.980
```

SG   No. 8
Total moment   0.083 μB/atom
Energy   -6.47 eV/atom
Crystal system   monoclinic
Offset from the most stable computed form   185 meV per atom
Calculated density   7.42 g cm⁻³
N(E_F)   0.82 states/eV per atom

=====

5.
An optimized crystal structure of MnTcSnPH. Source: Alexandria, functional PBE.

POSCAR file:
```
MnTcSnPH
1.0
3.125 0.000 0.001
0.000 3.268 0.000
-0.004 0.000 6.537
Sn P Mn H Tc
1 1 1 1 1
Direct
0.625 0.500 0.580
0.625 0.000 0.071
0.125 0.000 0.323
0.123 0.500 0.243
0.125 0.500 0.942
```

SG   No. 6
Total moment   0.408 μB/atom
Energy   -6.58 eV/atom
Crystal system   monoclinic
Offset from the most stable computed form   72 meV per atom
Calculated density   7.55 g cm⁻³
N(E_F)   0.50 states/eV per atom

=====

6.
An optimized crystal structure of MnTcSnPH. Source: Alexandria, functional PBE.

POSCAR file:
```
MnTcSnPH
1.0
-1.293 2.317 1.674
1.399 -2.399 1.460
20.115 11.495 -0.379
H Mn P Tc Sn
3 3 3 3 3
Direct
0.333 0.667 0.763
0.667 0.333 0.429
0.000 0.000 0.096
0.000 0.000 0.585
0.333 0.667 0.252
0.667 0.333 0.918
0.000 0.000 0.859
0.667 0.333 0.192
0.333 0.667 0.526
0.000 0.000 0.457
0.333 0.667 0.124
0.667 0.333 0.790
0.333 0.667 0.005
0.667 0.333 0.672
0.000 0.000 0.339
```

SG   No. 160
Total moment   0.270 μB/atom
Energy   -6.62 eV/atom
Crystal system   trigonal
Offset from the most stable computed form   28 meV per atom
Calculated density   7.66 g cm⁻³
N(E_F)   0.61 states/eV per atom

=====

Question: Which value of total moment does entry 4 give?
Answer: 0.083 μB/atom

=====

Question: Number 5 is which compound?
Answer: MnTcSnPH